Entry from Alexandria via LeMat-Bulk: Sm2Ho2Er after structural relaxation (PBE-GGA).

```
Sm2Ho2Er
1.0
7.864 -3.144 0.000
7.864 3.144 0.000
-1.588 0.000 6.552
Sm Ho Er
4 4 2
direct
0.114 0.285 0.152
0.285 0.114 0.652
0.715 0.886 0.348
0.886 0.715 0.848
0.319 0.485 0.548
0.485 0.319 0.048
0.515 0.681 0.952
0.681 0.515 0.452
0.083 0.917 0.250
0.917 0.083 0.750
```

## Properties
M_tot in μB per atom: 0.00
Total DFT energy (no corrections) in Ha/atom: -0.1697
Energy of formation in eV/atom: 0.01
DOS(E_F) in states/eV/cell: 17.62

***

Entry from Alexandria via LeMat-Bulk: NaCoOs after structural relaxation (PBE-GGA).

```
NaCoOs
1.0
4.853 0.000 0.000
0.000 4.152 0.000
0.000 0.000 9.494
Na Co Os
4 4 4
direct
0.042 0.250 0.101
0.458 0.750 0.601
0.542 0.250 0.399
0.958 0.750 0.899
0.040 0.250 0.437
0.460 0.750 0.937
0.540 0.250 0.063
0.960 0.750 0.563
0.000 0.250 0.691
0.000 0.750 0.309
0.500 0.250 0.809
0.500 0.750 0.191
```

## Properties
M_tot in μB per atom: 0.37
Total DFT energy (no corrections) in Ha/atom: -0.2128
Energy of formation in eV/atom: 0.76
DOS(E_F) in states/eV/cell: 10.65

***

Entry from Alexandria via LeMat-Bulk: Pr4Nd10Sm after structural relaxation (PBE-GGA).

```
Pr4Nd10Sm
1.0
-6.245 6.245 3.950
6.245 -6.245 3.950
6.245 6.245 -3.950
Pr Nd Sm
4 10 1
direct
0.100 0.701 0.801
0.299 0.100 0.400
0.701 0.900 0.600
0.900 0.299 0.199
0.052 0.350 0.900
0.152 0.052 0.702
0.250 0.750 0.500
0.350 0.451 0.298
0.451 0.152 0.100
0.549 0.848 0.900
0.650 0.549 0.702
0.750 0.250 0.500
0.848 0.948 0.298
0.948 0.650 0.100
0.500 0.500 0.000
```

## Properties
M_tot in μB per atom: 0.00
Total DFT energy (no corrections) in Ha/atom: -0.1491
Energy of formation in eV/atom: 0.71
DOS(E_F) in states/eV/cell: 31.30

***

Entry from Alexandria via LeMat-Bulk: Hf2AlSiO after structural relaxation (PBE-GGA).

```
Hf2AlSiO
1.0
4.928 0.000 0.000
0.000 4.928 0.000
0.000 0.000 4.330
Hf Al Si O
2 1 1 1
direct
0.000 0.500 0.000
0.500 0.000 0.000
0.000 0.000 0.500
0.000 0.000 0.000
0.500 0.500 0.500
```

## Properties
M_tot in μB per atom: 0.00
Total DFT energy (no corrections) in Ha/atom: -0.2246
DOS(E_F) in states/eV/cell: 5.71
Energy relative to the elements, uncorrected in kJ/mol of formula units: 334.9

***

Entry from Alexandria via LeMat-Bulk: RbGaGe after structural relaxation (PBE-GGA).

```
RbGaGe
1.0
4.318 0.000 0.000
0.000 5.838 0.000
0.000 0.000 7.517
Rb Ga Ge
2 2 2
direct
0.250 0.000 0.244
0.750 0.000 0.756
0.250 0.500 0.579
0.750 0.500 0.421
0.250 0.500 0.910
0.750 0.500 0.090
```

## Properties
M_tot in μB per atom: 0.00
Total DFT energy (no corrections) in Ha/atom: -0.1104
Energy of formation in eV/atom: -0.13
DOS(E_F) in states/eV/cell: 1.76

***

Entry from Alexandria via LeMat-Bulk: Sr2Ag4Hg after structural relaxation (PBE-GGA).

```
Sr2Ag4Hg
1.0
6.257 0.000 0.000
0.000 6.488 0.000
-2.183 0.000 9.083
Sr Ag Hg
4 8 2
direct
0.125 0.250 0.407
0.284 0.750 0.026
0.716 0.250 0.974
0.875 0.750 0.593
0.262 0.250 0.093
0.315 0.750 0.415
0.412 0.535 0.693
0.412 0.965 0.693
0.588 0.035 0.307
0.588 0.465 0.307
0.685 0.250 0.585
0.738 0.750 0.907
0.112 0.250 0.781
0.888 0.750 0.219
```

## Properties
M_tot in μB per atom: 0.00
Total DFT energy (no corrections) in Ha/atom: -0.0893
Energy of formation in eV/atom: -0.28
DOS(E_F) in states/eV/cell: 5.64

***

Entry from Alexandria via LeMat-Bulk: HgWSe2 after structural relaxation (PBE-GGA).

```
HgWSe2
1.0
3.137 -3.691 0.000
3.137 3.691 0.000
0.000 0.000 3.295
Hg W Se
1 1 2
direct
0.000 0.000 0.000
0.500 0.500 0.000
0.000 0.500 0.500
0.500 0.000 0.500
```

## Properties
M_tot in μB per atom: 0.14
Total DFT energy (no corrections) in Ha/atom: -0.1558
DOS(E_F) in states/eV/cell: 3.78
Energy relative to the elements, uncorrected in kJ/mol of formula units: 315.3

***

Entry from Alexandria via LeMat-Bulk: CdCuMo3 after structural relaxation (PBE-GGA).

```
CdCuMo3
1.0
4.847 0.000 0.000
0.000 4.847 0.000
0.000 0.000 4.847
Cd Cu Mo
1 1 3
direct
0.000 0.000 0.000
0.500 0.500 0.500
0.000 0.000 0.500
0.000 0.500 0.000
0.500 0.000 0.000
```

## Properties
M_tot in μB per atom: 0.00
Total DFT energy (no corrections) in Ha/atom: -0.1744
Energy of formation in eV/atom: 2.76
DOS(E_F) in states/eV/cell: 5.01